1.
A geometry-optimized YHo2Sc2 structure, computed with GGA-PBE.

a = 5.9846 Å, b = 6.9152 Å, c = 13.9670 Å
α = 90.00°, β = 98.14°, γ = 90.00°
Positions (direct):
Y (0.3503, 0.3769, 0.3036)
Y (0.6497, 0.6231, 0.6964)
Y (0.8503, 0.1231, 0.3036)
Y (0.1497, 0.8769, 0.6964)
Ho (0.6203, 0.3760, 0.0982)
Ho (0.1203, 0.1240, 0.0982)
Ho (0.8797, 0.8760, 0.9018)
Ho (0.3797, 0.6240, 0.9018)
Ho (0.8535, 0.6272, 0.3030)
Ho (0.3535, 0.8728, 0.3030)
Ho (0.6465, 0.1272, 0.6970)
Ho (0.1465, 0.3728, 0.6970)
Sc (0.6142, 0.8739, 0.0997)
Sc (0.1142, 0.6261, 0.0997)
Sc (0.8858, 0.3739, 0.9003)
Sc (0.3858, 0.1261, 0.9003)
Sc (0.7518, 0.3751, 0.5002)
Sc (0.2518, 0.1249, 0.5002)
Sc (0.7482, 0.8751, 0.4998)
Sc (0.2482, 0.6249, 0.4998)

- final energy (eV per formula unit) = -28.04
- calculated formation energy (meV per atom) = 49
- offset from the most stable computed form (eV per formula unit) = 0.000
- M_tot (μB/cell) = 0.00



2.
A geometry-optimized MgGe2 structure, computed with GGA-PBE.

a = 6.2521 Å, b = 6.2521 Å, c = 6.7374 Å
α = 57.81°, β = 57.81°, γ = 35.61°
Positions (direct):
Mg (0.7508, 0.7508, 0.7472)
Mg (0.2492, 0.2492, 0.2528)
Ge (0.9375, 0.9375, 0.8973)
Ge (0.0625, 0.0625, 0.1027)
Ge (0.5603, 0.5603, 0.6063)
Ge (0.4397, 0.4397, 0.3937)

- final energy (eV per formula unit) = -10.81
- calculated formation energy (meV per atom) = 7
- offset from the most stable computed form (eV per formula unit) = 0.000
- M_tot (μB/cell) = 0.00